Below is crystalline Sn3MoAu at its relaxed geometry, with properties calculated at the GGA-PBE level.

The structure in POSCAR format:
```
Sn3MoAu
1.0
5.3307 0.0000 0.0000
0.0000 5.3307 0.0000
0.0000 0.0000 5.3307
Mo Au Sn
1 1 3
Cartesian
2.6654 2.6654 2.6654
0.0000 0.0000 0.0000
0.0000 2.6654 0.0000
0.0000 0.0000 2.6654
2.6654 0.0000 0.0000
```

Output
* total DFT energy (no corrections): -20.8 eV per cell
* size of the total moment: 4.0 μB per formula unit
* E_form: 1.059 eV per atom